Record 1
A geometry-optimized BaHgSe2 structure, computed with PBE.

a b c (Å): 8.150 6.977 6.977
angles (deg): 66.02 113.52 66.48
Element x y z (fractional)
Hg1 0.750 0.821 0.321
Hg2 0.250 0.179 0.679
Se1 0.343 0.023 0.202
Se2 0.157 0.702 0.523
Se3 0.657 0.977 0.798
Se4 0.843 0.298 0.477
Ba1 0.750 0.400 0.900
Ba2 0.250 0.600 0.100

## Properties
N(E_F) in states/eV per cell: 0.000
Symmetry: C2/c, No. 15
VASP energy in Ry per atom: -0.2420

***

Record 2
A geometry-optimized YZn11Au structure, computed with PBE.

a b c (Å): 5.316 6.849 6.844
angles (deg): 81.15 67.15 66.66
Element x y z (fractional)
Y1 0.000 0.000 0.000
Zn1 0.277 0.213 0.220
Zn2 0.723 0.787 0.780
Zn3 0.504 0.787 0.220
Zn4 0.496 0.213 0.780
Zn5 0.351 0.648 0.642
Zn6 0.649 0.352 0.358
Zn7 0.007 0.352 0.642
Zn8 0.993 0.648 0.358
Zn9 0.000 0.500 0.000
Zn10 0.500 0.000 0.500
Zn11 0.000 0.000 0.500
Au1 0.500 0.500 0.000

## Properties
N(E_F) in states/eV per cell: 4.860
Symmetry: C2/m, No. 12
Formation energy from the elements in kJ/mol of formula units: -256
VASP energy in Ry per atom: -0.1493

***

Record 3
A geometry-optimized TiGa structure, computed with PBE.

a b c (Å): 8.152 8.152 8.152
angles (deg): 90.00 90.00 90.00
Site moments in Bohr magnetons follow the coordinates.
Element x y z (fractional)
Ti1 0.116 0.116 0.116  0.53
Ti2 0.116 0.884 0.884  0.53
Ti3 0.884 0.116 0.884  0.53
Ti4 0.884 0.884 0.116  0.53
Ti5 0.616 0.616 0.616  0.53
Ti6 0.616 0.384 0.384  0.53
Ti7 0.384 0.616 0.384  0.53
Ti8 0.384 0.384 0.616  0.53
Ga1 0.305 0.305 0.305  -0.01
Ga2 0.305 0.695 0.695  -0.01
Ga3 0.695 0.305 0.695  -0.01
Ga4 0.695 0.695 0.305  -0.01
Ga5 0.805 0.805 0.805  -0.01
Ga6 0.805 0.195 0.195  -0.01
Ga7 0.195 0.805 0.195  -0.01
Ga8 0.195 0.195 0.805  -0.01

## Properties
N(E_F) in states/eV per cell: 13.783
Symmetry: I-43m, No. 217
Formation energy from the elements in kJ/mol of formula units: 153
VASP energy in Ry per atom: -0.3431

***

Record 4
A geometry-optimized Zn4Pt structure, computed with PBE.

a b c (Å): 4.958 4.958 4.958
angles (deg): 101.49 101.49 126.97
Element x y z (fractional)
Zn1 0.300 0.300 0.600
Zn2 0.700 0.300 0.000
Zn3 0.700 0.700 0.400
Zn4 0.300 0.700 0.000
Pt1 0.000 0.000 0.000

## Properties
N(E_F) in states/eV per cell: 1.306
Symmetry: I4/mmm, No. 139
Formation energy from the elements in kJ/mol of formula units: -39
VASP energy in Ry per atom: -0.1696

***

Record 5
A geometry-optimized Pm4TePt2 structure, computed with PBE.

a b c (Å): 8.834 8.835 8.815
angles (deg): 119.95 119.93 90.22
Element x y z (fractional)
Pm1 0.857 0.144 0.286
Pm2 0.393 0.606 0.214
Pm3 0.858 0.571 0.714
Pm4 0.856 0.143 0.713
Pm5 0.429 0.142 0.286
Pm6 0.392 0.179 0.786
Pm7 0.394 0.607 0.787
Pm8 0.821 0.608 0.214
Te1 0.250 0.750 0.500
Te2 0.000 0.000 0.000
Pt1 0.625 0.375 0.750
Pt2 0.625 0.875 0.250
Pt3 0.625 0.375 0.250
Pt4 0.125 0.375 0.750

## Properties
N(E_F) in states/eV per cell: 12.043
Symmetry: Fddd, No. 70
VASP energy in Ry per atom: -0.4300

***

Record 6
A geometry-optimized Mg8IrPb2 structure, computed with PBE.

a b c (Å): 4.838 6.999 8.402
angles (deg): 114.23 106.73 90.00
Element x y z (fractional)
Mg1 0.375 0.608 0.750
Mg2 0.635 0.883 0.269
Mg3 0.824 0.812 0.648
Mg4 0.996 0.215 0.993
Mg5 0.176 0.188 0.352
Mg6 0.365 0.117 0.731
Mg7 0.625 0.392 0.250
Mg8 0.004 0.785 0.007
Ir1 0.500 0.000 0.000
Pb1 0.819 0.321 0.639
Pb2 0.181 0.679 0.361

## Properties
N(E_F) in states/eV per cell: 3.411
Symmetry: C2/m, No. 12
Formation energy from the elements in kJ/mol of formula units: -153
VASP energy in Ry per atom: -0.2046

***

Which of these has the highest N(E_F)? TiGa

***

Which of these has the lowest N(E_F)? BaHgSe2

***

Which formula does entry 1 have? BaHgSe2

***

Number 5 is which compound? Pm4TePt2